[1]
The following is a PBE+U calculation of a relaxed CoBrNO2 crystal, from the Alexandria database.

Unit cell a=4.093 b=4.093 c=3.702 alpha=90.00 beta=90.00 gamma=90.00
Space group P4/mmm (No. 123)
Inequivalent atoms, fractional coordinates:
Co: 0.000 0.000 0.000 x1
Br: 0.500 0.500 0.500 x1
N: 0.500 0.500 0.000 x1
O: 0.000 0.500 0.500 x2

Values from the calculation:
Magnetic moment = 3.060 μB/f.u.
E_tot = -18.28 eV/f.u.
Fermi-level density of states = 0.78 states/eV/cell

[2]
The following is a PBE+U calculation of a relaxed CoBrNO2 crystal, from the Alexandria database.

Unit cell a=3.412 b=3.412 c=6.568 alpha=90.00 beta=90.00 gamma=90.00
Space group P4/mmm (No. 123)
Inequivalent atoms, fractional coordinates:
Co: 0.000 0.000 0.000 x1
Br: 0.500 0.500 0.000 x1
N: 0.500 0.500 0.500 x1
O: 0.000 0.500 0.500 x2

Values from the calculation:
Magnetic moment = 2.084 μB/f.u.
E_tot = -18.68 eV/f.u.
Fermi-level density of states = 3.19 states/eV/cell